(1)
The following is a PBE calculation of LiZr after structural relaxation, from Alexandria.

Cell: 2.9744 2.9744 16.7296 Å, 90.00 90.00 120.00°
Space group R-3m (No. 166, hexagonal axes)
Unique sites:
Li 0.0000 0.0000 0.0000 [3 per cell]
Zr 0.0000 0.0000 0.5000 [3 per cell]

Results
DFT formation energy, eV per atom: 0.23
V, Å³ per atom: 21.4
M_tot, μB/atom: 0.000
DFT total energy, eV per atom: -4.999
Density of states at the Fermi level, states/eV/cell: 4.95


(2)
The following is a PBE calculation of Cs2MgTl3 after structural relaxation, from Alexandria.

Cell: 17.227 7.164 7.905 Å, 90.00 103.27 90.00°
Space group C2/c (No. 15)
Unique sites:
Cs 0.189 0.000 0.094 [8 per cell]
Mg 0.000 0.264 0.250 [4 per cell]
Tl 0.000 0.205 0.750 [4 per cell]
Tl 0.102 0.500 0.051 [8 per cell]

Results
DFT formation energy, eV per atom: -0.04
V, Å³ per atom: 39.6
M_tot, μB/atom: 0.000
DFT total energy, eV per atom: -1.773
Density of states at the Fermi level, states/eV/cell: 12.68


(3)
The following is a PBE calculation of NaNdTh2Se4 after structural relaxation, from Alexandria.

Cell: 7.221 4.159 7.421 Å, 90.00 108.64 90.00°
Space group P2/m (No. 10)
Unique sites:
Na 0.000 0.000 0.000 [1 per cell]
Nd 0.500 0.500 0.000 [1 per cell]
Th 0.000 0.500 0.500 [1 per cell]
Th 0.500 0.000 0.500 [1 per cell]
Se 0.245 0.000 0.754 [2 per cell]
Se 0.245 0.500 0.247 [2 per cell]

Results
V, Å³ per atom: 26.4
M_tot, μB/atom: 0.000
Raw formation energy, kcal/mol of atoms: -36.43
DFT total energy, eV per atom: -5.938
Density of states at the Fermi level, states/eV/cell: 4.64


(4)
The following is a PBE calculation of Cs2TbBr5 after structural relaxation, from Alexandria.

Cell: 8.538 8.538 10.213 Å, 90.00 90.00 90.00°
Space group I4mm (No. 107)
Unique sites:
Cs 0.000 0.500 0.000 [4 per cell]
Tb 0.000 0.000 0.213 [2 per cell]
Br 0.000 0.000 0.955 [2 per cell]
Br 0.226 0.226 0.265 [8 per cell]

Results
V, Å³ per atom: 46.5
M_tot, μB/atom: 0.000
Raw formation energy, kcal/mol of atoms: -42.31
DFT total energy, eV per atom: -3.672
Density of states at the Fermi level, states/eV/cell: 0.00


(5)
The following is a PBE calculation of TbEr2Cd2 after structural relaxation, from Alexandria.

Cell: 5.364 15.913 6.384 Å, 90.00 90.00 90.00°
Space group Cmc2_1 (No. 36)
Unique sites:
Tb 0.000 0.085 0.000 [4 per cell]
Er 0.000 0.307 0.758 [4 per cell]
Er 0.000 0.468 0.170 [4 per cell]
Cd 0.000 0.118 0.496 [4 per cell]
Cd 0.000 0.283 0.257 [4 per cell]

Results
DFT formation energy, eV per atom: -0.17
V, Å³ per atom: 27.2
M_tot, μB/atom: 0.000
DFT total energy, eV per atom: -3.290
Density of states at the Fermi level, states/eV/cell: 21.17


(6)
The following is a PBE calculation of HoZr3N after structural relaxation, from Alexandria.

Cell: 4.644 4.644 4.644 Å, 90.00 90.00 90.00°
Space group Pm-3m (No. 221)
Unique sites:
Ho 0.000 0.000 0.000 [1 per cell]
Zr 0.000 0.500 0.500 [3 per cell]
N 0.500 0.500 0.500 [1 per cell]

Results
V, Å³ per atom: 20.0
M_tot, μB/atom: 0.000
Raw formation energy, kcal/mol of atoms: -13.74
DFT total energy, eV per atom: -8.305
Density of states at the Fermi level, states/eV/cell: 4.06


(7)
The following is a PBE calculation of TmAlSi2Ir5 after structural relaxation, from Alexandria.

Cell: 4.003 4.003 10.182 Å, 90.00 90.00 90.00°
Space group P4/mmm (No. 123)
Unique sites:
Tm 0.000 0.000 0.000 [1 per cell]
Al 0.000 0.000 0.500 [1 per cell]
Si 0.500 0.500 0.228 [2 per cell]
Ir 0.000 0.500 0.350 [4 per cell]
Ir 0.500 0.500 0.000 [1 per cell]

Results
V, Å³ per atom: 18.1
M_tot, μB/atom: 0.000
Raw formation energy, kcal/mol of atoms: -10.42
DFT total energy, eV per atom: -7.492
Density of states at the Fermi level, states/eV/cell: 7.13


(8)
The following is a PBE calculation of LiC after structural relaxation, from Alexandria.

Cell: 3.246 3.548 10.636 Å, 90.00 90.00 90.00°
Space group Immm (No. 71)
Unique sites:
Li 0.000 0.000 0.000 [2 per cell]
Li 0.000 0.500 0.259 [4 per cell]
C 0.000 0.000 0.376 [4 per cell]
C 0.000 0.000 0.500 [2 per cell]

Results
DFT formation energy, eV per atom: 0.17
V, Å³ per atom: 10.2
M_tot, μB/atom: 0.000
DFT total energy, eV per atom: -5.403
Density of states at the Fermi level, states/eV/cell: 3.05


The lowest density of states at the Fermi level belongs to which entry? Cs2TbBr5